! K3NaV2O8 PBE with a Hubbard U relaxed; values from VASP
! Uncorrected energy   -5.931 eV/atom
&SYSTEM
  ibrav = 0, nat = 14, ntyp = 4
/
ATOMIC_SPECIES
K 39.10 K.upf
Na 22.99 Na.upf
V 50.94 V.upf
O 16.00 O.upf
ATOMIC_POSITIONS crystal
K 0.000 0.000 0.000
K 0.333 0.667 0.661
K 0.667 0.333 0.339
Na 0.000 0.000 0.500
V 0.333 0.667 0.223
V 0.667 0.333 0.777
O 0.178 0.356 0.305
O 0.178 0.822 0.305
O 0.333 0.667 0.999
O 0.356 0.178 0.695
O 0.644 0.822 0.305
O 0.667 0.333 0.001
O 0.822 0.178 0.695
O 0.822 0.644 0.695
CELL_PARAMETERS angstrom
6.034 0.000 0.000
-3.017 5.225 0.000
0.000 0.000 7.717